# 1
Computed, not measured: a relaxed Pr16Er6Tm7 crystal at the PBE level of DFT.

abc: 11.328 11.328 11.328
angles: 60.00 60.00 60.00
Element x y z (fractional)
Pr (0.875, 0.875, 0.375)
Pr (0.875, 0.875, 0.875)
Pr (0.875, 0.375, 0.875)
Pr (0.375, 0.875, 0.875)
Pr (0.125, 0.125, 0.125)
Pr (0.125, 0.125, 0.625)
Pr (0.125, 0.625, 0.125)
Pr (0.625, 0.125, 0.125)
Pr (0.648, 0.648, 0.057)
Pr (0.648, 0.648, 0.648)
Pr (0.648, 0.057, 0.648)
Pr (0.057, 0.648, 0.648)
Pr (0.352, 0.352, 0.352)
Pr (0.352, 0.352, 0.943)
Pr (0.352, 0.943, 0.352)
Pr (0.943, 0.352, 0.352)
Er (0.262, 0.738, 0.262)
Er (0.738, 0.262, 0.738)
Er (0.738, 0.262, 0.262)
Er (0.262, 0.738, 0.738)
Er (0.738, 0.738, 0.262)
Er (0.262, 0.262, 0.738)
Tm (0.000, 0.000, 0.000)
Tm (0.500, 0.000, 0.500)
Tm (0.000, 0.500, 0.000)
Tm (0.000, 0.500, 0.500)
Tm (0.500, 0.000, 0.000)
Tm (0.000, 0.000, 0.500)
Tm (0.500, 0.500, 0.000)

SG: No. 225
magnetization: 0.000 μB per formula unit
E_tot: -129.41 eV/cell
ΔE_f: 0.198 eV per atom

# 2
Computed, not measured: a relaxed Ta2Zn2Sn crystal at the PBE level of DFT.

abc: 6.672 6.672 3.868
angles: 90.00 90.00 90.00
Element x y z (fractional)
Zn (0.376, 0.876, 0.000)
Zn (0.876, 0.624, 0.000)
Zn (0.624, 0.124, 0.000)
Zn (0.124, 0.376, 0.000)
Sn (0.000, 0.000, 0.000)
Sn (0.500, 0.500, 0.000)
Ta (0.174, 0.674, 0.500)
Ta (0.674, 0.826, 0.500)
Ta (0.826, 0.326, 0.500)
Ta (0.326, 0.174, 0.500)

SG: No. 127
magnetization: 0.000 μB per formula unit
E_tot: -57.89 eV/cell
ΔE_f: 0.262 eV per atom

# 3
Computed, not measured: a relaxed Tl2ZnIr crystal at the PBE level of DFT.

abc: 3.159 3.159 8.576
angles: 90.00 90.00 90.00
Element x y z (fractional)
Ir (0.500, 0.500, 0.750)
Tl (0.000, 0.000, 0.972)
Tl (0.000, 0.000, 0.528)
Zn (0.500, 0.500, 0.250)

SG: No. 123
distance to the lowest polymorph of the same formula: 7.75 kcal/mol of atoms
magnetization: 0.000 μB per formula unit
E_tot: -13.05 eV/cell
ΔE_f: 0.455 eV per atom

# 4
Computed, not measured: a relaxed La2MgScHg6 crystal at the PBE level of DFT.

abc: 8.411 6.318 7.569
angles: 79.16 48.00 95.55
Element x y z (fractional)
La (0.118, 0.633, 0.625)
La (0.882, 0.367, 0.375)
Mg (0.000, 0.000, 0.000)
Sc (0.500, 0.500, 0.000)
Hg (0.328, 0.881, 0.010)
Hg (0.653, 0.619, 0.221)
Hg (0.170, 0.169, 0.497)
Hg (0.672, 0.119, 0.990)
Hg (0.347, 0.381, 0.779)
Hg (0.830, 0.831, 0.503)

SG: No. 2
magnetization: 0.000 μB per formula unit
E_tot: -22.16 eV/cell
ΔE_f: -0.257 eV per atom

# 5
Computed, not measured: a relaxed Sm2Co4C crystal at the PBE level of DFT.

abc: 3.844 3.844 7.950
angles: 76.01 76.01 90.00
Site moments in Bohr magnetons follow the coordinates.
Element x y z (fractional)
C (0.000, 0.000, 0.000)  -0.03
Co (0.878, 0.878, 0.245)  0.20
Co (0.122, 0.122, 0.755)  0.20
Co (0.000, 0.500, 0.000)  0.52
Co (0.500, 0.000, 0.000)  0.52
Sm (0.662, 0.662, 0.676)  -0.03
Sm (0.338, 0.338, 0.324)  -0.03

SG: No. 139
magnetization: 1.310 μB per formula unit
E_tot: -47.24 eV/cell
ΔE_f: -0.022 eV per atom

# 6
Computed, not measured: a relaxed NbCuPdAu crystal at the PBE level of DFT.

abc: 4.477 4.477 4.477
angles: 60.00 60.00 60.00
Element x y z (fractional)
Nb (0.750, 0.750, 0.750)
Au (0.250, 0.250, 0.250)
Cu (0.500, 0.500, 0.500)
Pd (0.000, 0.000, 0.000)

SG: No. 216
magnetization: 0.000 μB per formula unit
E_tot: -22.88 eV/cell
ΔE_f: -0.061 eV per atom

# 7
Computed, not measured: a relaxed Rb2NaRhO4 crystal at the PBE level of DFT.

abc: 5.953 5.953 5.953
angles: 99.13 114.87 114.87
Element x y z (fractional)
Rb (0.500, 0.750, 0.250)
Rb (0.000, 0.000, 0.000)
Na (0.500, 0.250, 0.750)
Rh (0.000, 0.500, 0.500)
O (0.656, 0.425, 0.489)
O (0.064, 0.231, 0.575)
O (0.936, 0.511, 0.167)
O (0.344, 0.833, 0.769)

SG: No. 82
magnetization: 0.000 μB per formula unit
raw formation energy: -8.55 eV/f.u.
E_tot: -38.99 eV/cell

# 8
Computed, not measured: a relaxed Os7W crystal at the PBE level of DFT.

abc: 5.481 5.481 5.481
angles: 60.00 60.00 60.00
Element x y z (fractional)
Os (0.000, 0.000, 0.500)
Os (0.500, 0.000, 0.500)
Os (0.000, 0.500, 0.500)
Os (0.500, 0.500, 0.000)
Os (0.000, 0.500, 0.000)
Os (0.500, 0.000, 0.000)
Os (0.500, 0.500, 0.500)
W (0.000, 0.000, 0.000)

SG: No. 225
magnetization: 0.000 μB per formula unit
E_tot: -90.72 eV/cell
ΔE_f: 0.105 eV per atom